No. 1
Below is a geometry-optimized CrSbTe2C structure, with properties calculated at the PBE-GGA level.

abc: 5.009 5.009 5.051
angles: 90.00 90.00 90.00
Site moments in Bohr magnetons follow the coordinates.
Sites, in units of the cell vectors:
Te 0.000 0.500 0.000  -0.06
Te 0.500 0.000 0.000  -0.06
Sb 0.000 0.000 0.500  -0.10
C 0.500 0.500 0.500  0.83
Cr 0.000 0.000 0.000  0.07

SG: No. 123
Polymorph energy (0 for the lowest one) (eV per atom): 0.227

No. 2
Below is a geometry-optimized ZnCrSb2C structure, with properties calculated at the PBE-GGA level.

abc: 5.122 3.738 5.122
angles: 90.00 90.00 90.00
Sites, in units of the cell vectors:
Sb 0.500 0.000 0.000
Sb 0.000 0.000 0.500
C 0.000 0.500 0.000
Cr 0.000 0.000 0.000
Zn 0.500 0.500 0.500

SG: No. 123

No. 3
Below is a geometry-optimized ZrCr2SbC structure, with properties calculated at the PBE-GGA level.

abc: 4.798 4.184 4.798
angles: 90.00 90.00 90.00
Site moments in Bohr magnetons follow the coordinates.
Sites, in units of the cell vectors:
Cr 0.500 0.000 0.000  0.24
Cr 0.000 0.000 0.500  0.01
Sb 0.500 0.500 0.500  -0.05
C 0.000 0.500 0.000  -0.01
Zr 0.000 0.000 0.000  -0.05

SG: No. 123

Calculated values (Ry/atom) of electronic total energy for the records, taken in order: -0.3076; -0.3619; -0.4592.
Calculated values (eV/atom) of energy relative to the elements, uncorrected for the records, taken in order: 1.666; 0.749; 1.981.
Calculated values (g cm⁻³) of density for the records, taken in order: 5.777; 6.315; 5.671.